A plane-wave DFT calculation with PBE was carried out for a relaxed structure of Rb3CeU2Te6.

a b c (Å): 7.9435 13.7584 9.0066
angles (deg): 90.00 107.10 90.00
Space group C2/m (No. 12)
Symmetry-distinct sites (fractional):
1 Rb 0.0000 0.0000 0.0000 (multiplicity 2)
2 Rb 0.0000 0.3348 0.0000 (multiplicity 4)
3 Ce 0.0000 0.5000 0.5000 (multiplicity 2)
4 U 0.0000 0.1670 0.5000 (multiplicity 4)
5 Te 0.2281 0.0000 0.7026 (multiplicity 4)
6 Te 0.2375 0.3304 0.7032 (multiplicity 8)

Output
The value obtained for the uncorrected formation energy is -12.0 eV per formula unit. For the total magnetization, the calculation gives 7.003 μB/f.u.

A plane-wave DFT calculation with PBE was carried out for a relaxed structure of Rb4Ce3YTe8.

a b c (Å): 9.3066 9.3066 25.6194
angles (deg): 90.00 90.00 120.00
Space group R-3m (No. 166, hexagonal axes)
Symmetry-distinct sites (fractional):
1 Rb 0.0000 0.0000 0.0000 (multiplicity 3)
2 Rb 0.0000 0.5000 0.0000 (multiplicity 9)
3 Ce 0.0000 0.5000 0.5000 (multiplicity 9)
4 Y 0.0000 0.0000 0.5000 (multiplicity 3)
5 Te 0.0000 0.0000 0.2351 (multiplicity 6)
6 Te 0.0075 0.5037 0.2340 (multiplicity 18)

Output
The value obtained for the uncorrected formation energy is -21.6 eV per formula unit. For the total magnetization, the calculation gives 3.006 μB/f.u.

A plane-wave DFT calculation with PBE was carried out for a relaxed structure of Rb3CeY2Te6.

a b c (Å): 7.9469 13.7655 8.9536
angles (deg): 90.00 107.22 90.00
Space group C2/m (No. 12)
Symmetry-distinct sites (fractional):
1 Rb 0.0000 0.0000 0.0000 (multiplicity 2)
2 Rb 0.0000 0.3351 0.0000 (multiplicity 4)
3 Ce 0.0000 0.5000 0.5000 (multiplicity 2)
4 Y 0.0000 0.1669 0.5000 (multiplicity 4)
5 Te 0.2252 0.0000 0.7006 (multiplicity 4)
6 Te 0.2379 0.3292 0.7011 (multiplicity 8)

Output
The value obtained for the uncorrected formation energy is -16.5 eV per formula unit. For the total magnetization, the calculation gives 1.012 μB/f.u.

A plane-wave DFT calculation with PBE was carried out for a relaxed structure of Rb4CeY3Te8.

a b c (Å): 9.1488 9.1488 25.6555
angles (deg): 90.00 90.00 120.00
Space group R-3m (No. 166, hexagonal axes)
Symmetry-distinct sites (fractional):
1 Rb 0.0000 0.0000 0.0000 (multiplicity 3)
2 Rb 0.0000 0.5000 0.0000 (multiplicity 9)
3 Ce 0.0000 0.0000 0.5000 (multiplicity 3)
4 Y 0.0000 0.5000 0.5000 (multiplicity 9)
5 Te 0.0000 0.0000 0.2328 (multiplicity 6)
6 Te 0.0075 0.5038 0.7662 (multiplicity 18)

Output
The value obtained for the uncorrected formation energy is -22.1 eV per formula unit. For the total magnetization, the calculation gives 1.019 μB/f.u.